[1]
# BaZn2Hg GGA-PBE optimized geometry
data_BaZn2Hg
_chemical_formula_sum 'Ba2 Zn4 Hg2'
_space_group_name_H-M_alt 'I m m 2'
_space_group_IT_number 44
_space_group_name_Hall 'I 2 -2'
_cell_length_a 4.558
_cell_length_b 5.868
_cell_length_c 8.366
_cell_angle_alpha 90.00
_cell_angle_beta 90.00
_cell_angle_gamma 90.00
loop_
_atom_site_label
_atom_site_type_symbol
_atom_site_fract_x
_atom_site_fract_y
_atom_site_fract_z
Ba1 Ba 0.000 0.000 0.000
Zn1 Zn 0.000 0.000 0.456
Zn2 Zn 0.000 0.500 0.804
Hg1 Hg 0.000 0.500 0.197
# ΔE_f (kJ/mol of atoms): -15.2
# Total DFT energy (no corrections) (eV per formula unit): -5.4
# Crystal system: orthorhombic

=====

[2]
# CaZn3Rh2 GGA-PBE optimized geometry
data_CaZn3Rh2
_chemical_formula_sum 'Ca4 Zn12 Rh8'
_space_group_name_H-M_alt 'C m c m'
_space_group_IT_number 63
_space_group_name_Hall '-C 2c 2'
_cell_length_a 9.214
_cell_length_b 8.094
_cell_length_c 5.817
_cell_angle_alpha 90.00
_cell_angle_beta 90.00
_cell_angle_gamma 90.00
loop_
_atom_site_label
_atom_site_type_symbol
_atom_site_fract_x
_atom_site_fract_y
_atom_site_fract_z
Ca1 Ca 0.000 0.142 0.250
Zn1 Zn 0.000 0.479 0.750
Zn2 Zn 0.189 0.235 0.750
Rh1 Rh 0.226 0.500 0.000
# ΔE_f (kJ/mol of atoms): -41.2
# Total DFT energy (no corrections) (eV per formula unit): -23.1
# Crystal system: orthorhombic

=====

[3]
# YTcF2 GGA-PBE optimized geometry
data_YTcF2
_chemical_formula_sum 'Y3 Tc3 F6'
_space_group_name_H-M_alt 'R -3 m'
_space_group_IT_number 166
_space_group_name_Hall '-R 3 2"'
_cell_length_a 2.9725
_cell_length_b 2.9725
_cell_length_c 23.1045
_cell_angle_alpha 90.00
_cell_angle_beta 90.00
_cell_angle_gamma 120.00
loop_
_atom_site_label
_atom_site_type_symbol
_atom_site_fract_x
_atom_site_fract_y
_atom_site_fract_z
Y1 Y 0.0000 0.0000 0.0000
Tc1 Tc 0.0000 0.0000 0.5000
F1 F 0.0000 0.0000 0.4061
# ΔE to the lowest computed polymorph (eV per formula unit): 0.00
# ΔE_f (raw) (meV/atom): -1372
# Total DFT energy (no corrections) (eV per formula unit): -26.1
# Crystal system: trigonal

=====

[4]
# BaZrSb3 GGA-PBE optimized geometry
data_BaZrSb3
_chemical_formula_sum 'Ba1 Zr1 Sb3'
_space_group_name_H-M_alt 'P m -3 m'
_space_group_IT_number 221
_space_group_name_Hall '-P 4 2 3'
_cell_length_a 5.988
_cell_length_b 5.988
_cell_length_c 5.988
_cell_angle_alpha 90.00
_cell_angle_beta 90.00
_cell_angle_gamma 90.00
loop_
_atom_site_label
_atom_site_type_symbol
_atom_site_fract_x
_atom_site_fract_y
_atom_site_fract_z
Ba1 Ba 0.000 0.000 0.000
Zr1 Zr 0.500 0.500 0.500
Sb1 Sb 0.000 0.000 0.500
# ΔE to the lowest computed polymorph (eV per formula unit): 8.76
# ΔE_f (raw) (meV/atom): 1284
# Total DFT energy (no corrections) (eV per formula unit): -16.4
# Crystal system: cubic

=====

[5]
# Li4SbAu3 GGA-PBE optimized geometry
data_Li4SbAu3
_chemical_formula_sum 'Li4 Sb1 Au3'
_space_group_name_H-M_alt 'P 4/m m m'
_space_group_IT_number 123
_space_group_name_Hall '-P 4 2'
_cell_length_a 3.356
_cell_length_b 3.356
_cell_length_c 11.831
_cell_angle_alpha 90.00
_cell_angle_beta 90.00
_cell_angle_gamma 90.00
loop_
_atom_site_label
_atom_site_type_symbol
_atom_site_fract_x
_atom_site_fract_y
_atom_site_fract_z
Li1 Li 0.000 0.000 0.119
Li2 Li 0.000 0.000 0.354
Sb1 Sb 0.500 0.500 0.500
Au1 Au 0.500 0.500 0.000
Au2 Au 0.500 0.500 0.240
# ΔE_f (raw) (meV/atom): -492
# Total DFT energy (no corrections) (eV per formula unit): -25.5
# Crystal system: tetragonal

=====

[6]
# Te2RuCl GGA-PBE optimized geometry
data_Te2RuCl
_chemical_formula_sum 'Te2 Ru1 Cl1'
_space_group_name_H-M_alt 'P m m m'
_space_group_IT_number 47
_space_group_name_Hall '-P 2 2'
_cell_length_a 3.172
_cell_length_b 4.521
_cell_length_c 7.007
_cell_angle_alpha 90.00
_cell_angle_beta 90.00
_cell_angle_gamma 90.00
loop_
_atom_site_label
_atom_site_type_symbol
_atom_site_fract_x
_atom_site_fract_y
_atom_site_fract_z
Te1 Te 0.000 0.000 0.000
Te2 Te 0.500 0.000 0.500
Ru1 Ru 0.000 0.500 0.500
Cl1 Cl 0.500 0.500 0.000
# ΔE to the lowest computed polymorph (eV per formula unit): 3.34
# ΔE_f (raw) (meV/atom): 630
# Total DFT energy (no corrections) (eV per formula unit): -14.9
# Crystal system: orthorhombic

=====

no.,size of the total moment (Bohr magnetons per cell)
1,0.0
2,0.0
3,2.1
4,1.6
5,0.0
6,1.4